No. 1
The following is a PBE calculation of crystalline BaAs3Pd at its relaxed geometry, from Alexandria.

Structure (POSCAR):
```
BaAs3Pd
1.0
-4.1780 -2.8354 0.2009
2.3260 -3.2050 3.1389
-1.6338 2.6877 3.9550
Pd As Ba
1 3 1
direct
0.0000 0.0000 0.0000
0.0000 0.5000 0.0000
0.5000 0.0000 0.0000
0.0000 0.0000 0.5000
0.5000 0.5000 0.5000
```

Values from the calculation:
Its symmetry is No. 221. The spin magnetization is 0.00 μB/atom. The calculation puts the energy relative to the elements at -0.222 eV per atom. The polymorph energy (0 for the lowest one) comes out at 0.3504 eV per atom.


No. 2
The following is a PBE calculation of crystalline BaLi2Sb2 at its relaxed geometry, from Alexandria.

Structure (POSCAR):
```
BaLi2Sb2
1.0
-3.3884 -1.5100 2.9765
2.0790 -4.2731 0.1990
6.5012 3.5924 9.2232
Li Ba Sb
4 2 4
direct
0.5000 0.5000 0.0000
0.0000 0.0000 0.0000
0.5000 0.0000 0.6379
0.0000 0.5000 0.3621
0.0000 0.5000 0.7587
0.5000 0.0000 0.2413
0.0000 0.0000 0.5000
0.5000 0.5000 0.5000
0.0000 0.5000 0.1321
0.5000 0.0000 0.8679
```

Values from the calculation:
Its symmetry is No. 129. For the uncorrected formation energy, the calculation gives -0.78 eV per atom. The spin magnetization is 0.00 μB/atom. The polymorph energy (0 for the lowest one) comes out at 0.0081 eV per atom.


No. 3
The following is a PBE calculation of crystalline Cs2Tl2Pt at its relaxed geometry, from Alexandria.

Structure (POSCAR):
```
Cs2Tl2Pt
1.0
7.4993 0.0000 0.0000
0.0000 7.4993 0.0000
0.0000 0.0000 6.5121
Tl Pt Cs
4 2 4
direct
0.1515 0.3485 0.0000
0.3485 0.8485 0.0000
0.6515 0.1515 0.0000
0.8485 0.6515 0.0000
0.5000 0.5000 0.0000
0.0000 0.0000 0.0000
0.6854 0.8146 0.5000
0.3146 0.1854 0.5000
0.1854 0.6854 0.5000
0.8146 0.3146 0.5000
```

Values from the calculation:
Its symmetry is No. 127. The spin magnetization is 0.00 μB/atom. The calculation puts the energy relative to the elements at 0.013 eV per atom. The polymorph energy (0 for the lowest one) comes out at 0.1698 eV per atom.


One value per record, in order, for DOS at the Fermi energy: 0.7911 0.5024 0.6965 states/eV per atom.